Entry 1:
## LaHo2ThSb4 (PBE)

Data for LaHo2ThSb4 after structural relaxation.

Cell lengths 7.6915, 4.4754, 7.7554 Å; angles 90.00, 109.55, 90.00 degrees
Closest atoms and distances in Å follow each position.
Space group P2/m (No. 10)
Unique sites:
La 0.0000 0.0000 0.0000 (multiplicity 1)  6 Sb 3.22
Ho 0.5000 0.0000 0.5000 (multiplicity 1)  6 Sb 3.09-3.10
Ho 0.5000 0.5000 0.0000 (multiplicity 1)  6 Sb 3.12
Th 0.0000 0.5000 0.5000 (multiplicity 1)  6 Sb 3.19-3.20
Sb 0.2609 0.0000 0.7509 (multiplicity 2)  3 Ho 3.09-3.12, 2 Th 3.20, 1 La 3.22
Sb 0.2625 0.5000 0.2573 (multiplicity 2)  3 Ho 3.10-3.12, 1 Th 3.19, 2 La 3.22

Summary:
For the density of states at the Fermi level, the calculation gives 0.221 states/eV per atom. As for the crystal system: monoclinic. Its electronic total energy is -5.86 eV per atom. Its formation energy (no corrections) is -1.12 eV per atom. The magnetic moment is 0.00 μB per atom.

---

Entry 2:
## LaHoTh2Sb4 (PBE)

Data for LaHoTh2Sb4 after structural relaxation.

Cell lengths 7.7891, 4.5081, 7.7981 Å; angles 90.00, 109.57, 90.00 degrees
Closest atoms and distances in Å follow each position.
Space group P2/m (No. 10)
Unique sites:
La 0.0000 0.0000 0.0000 (multiplicity 1)  6 Sb 3.20
Ho 0.0000 0.5000 0.5000 (multiplicity 1)  6 Sb 3.15
Th 0.5000 0.0000 0.5000 (multiplicity 1)  6 Sb 3.16
Th 0.5000 0.5000 0.0000 (multiplicity 1)  6 Sb 3.22
Sb 0.2456 0.0000 0.7424 (multiplicity 2)  2 Ho 3.15, 3 Th 3.16-3.22, 1 La 3.20
Sb 0.2504 0.5000 0.2562 (multiplicity 2)  1 Ho 3.15, 3 Th 3.16-3.22, 2 La 3.20

Summary:
For the density of states at the Fermi level, the calculation gives 0.568 states/eV per atom. As for the crystal system: monoclinic. Its electronic total energy is -6.15 eV per atom. Its formation energy (no corrections) is -1.05 eV per atom. The magnetic moment is 0.00 μB per atom.

---

Entry 3:
## La2HoThSb4 (PBE)

Data for La2HoThSb4 after structural relaxation.

Cell lengths 7.8237, 4.5339, 7.8695 Å; angles 90.00, 109.45, 90.00 degrees
Closest atoms and distances in Å follow each position.
Space group P2/m (No. 10)
Unique sites:
La 0.0000 0.0000 0.0000 (multiplicity 1)  6 Sb 3.23
La 0.5000 0.5000 0.0000 (multiplicity 1)  6 Sb 3.27
Ho 0.0000 0.5000 0.5000 (multiplicity 1)  6 Sb 3.14
Th 0.5000 0.0000 0.5000 (multiplicity 1)  6 Sb 3.17-3.18
Sb 0.2424 0.0000 0.7379 (multiplicity 2)  2 Ho 3.14, 1 Th 3.17, 3 La 3.23-3.27
Sb 0.2489 0.5000 0.2592 (multiplicity 2)  1 Ho 3.14, 2 Th 3.18, 3 La 3.23-3.27

Summary:
For the density of states at the Fermi level, the calculation gives 0.230 states/eV per atom. As for the crystal system: monoclinic. Its electronic total energy is -5.95 eV per atom. Its formation energy (no corrections) is -1.16 eV per atom. The magnetic moment is 0.00 μB per atom.

---

Entry 4:
## La2HoTh3Sb6 (PBE)

Data for La2HoTh3Sb6 after structural relaxation.

Cell lengths 19.7253, 4.5221, 9.0394 Å; angles 90.00, 103.43, 90.00 degrees
Closest atoms and distances in Å follow each position.
Space group C2/m (No. 12)
Unique sites:
La 0.1655 0.0000 0.3318 (multiplicity 4)  6 Sb 3.22-3.24
Ho 0.0000 0.5000 0.0000 (multiplicity 2)  6 Sb 3.13-3.16
Th 0.0000 0.5000 0.5000 (multiplicity 2)  6 Sb 3.17-3.23
Th 0.1689 0.0000 0.8347 (multiplicity 4)  6 Sb 3.17-3.22
Sb 0.0027 0.0000 0.7572 (multiplicity 4)  2 Ho 3.16, 3 Th 3.19-3.23, 1 La 3.23
Sb 0.1632 0.5000 0.0776 (multiplicity 4)  1 Ho 3.13, 3 Th 3.17-3.22, 2 La 3.22
Sb 0.1654 0.5000 0.5865 (multiplicity 4)  3 Th 3.17, 3 La 3.23-3.24

Summary:
For the density of states at the Fermi level, the calculation gives 0.524 states/eV per atom. As for the crystal system: monoclinic. Its electronic total energy is -6.19 eV per atom. Its formation energy (no corrections) is -1.07 eV per atom. The magnetic moment is 0.00 μB per atom.

---

Entry 5:
## La3HoTh2Sb6 (PBE)

Data for La3HoTh2Sb6 after structural relaxation.

Cell lengths 7.8494, 13.6118, 7.8867 Å; angles 90.00, 109.41, 90.00 degrees
Closest atoms and distances in Å follow each position.
Space group C2/m (No. 12)
Unique sites:
La 0.0000 0.0000 0.0000 (multiplicity 2)  6 Sb 3.24-3.28
La 0.0000 0.3316 0.0000 (multiplicity 4)  6 Sb 3.24-3.27
Ho 0.0000 0.5000 0.5000 (multiplicity 2)  6 Sb 3.14-3.15
Th 0.0000 0.1660 0.5000 (multiplicity 4)  6 Sb 3.18-3.19
Sb 0.2441 0.3355 0.7397 (multiplicity 8)  1 Ho 3.14, 2 Th 3.18-3.19, 3 La 3.24-3.27
Sb 0.2478 0.5000 0.2578 (multiplicity 4)  1 Ho 3.15, 2 Th 3.19, 3 La 3.25-3.28

Summary:
For the density of states at the Fermi level, the calculation gives 0.260 states/eV per atom. As for the crystal system: monoclinic. Its electronic total energy is -6.06 eV per atom. Its formation energy (no corrections) is -1.14 eV per atom. The magnetic moment is 0.00 μB per atom.

---

Entry 6:
## LaHo2TmSb4 (PBE)

Data for LaHo2TmSb4 after structural relaxation.

Cell lengths 6.2704, 6.2704, 12.5121 Å; angles 90.00, 90.00, 90.00 degrees
Closest atoms and distances in Å follow each position.
Space group I4/mmm (No. 139)
Unique sites:
La 0.0000 0.0000 0.0000 (multiplicity 2)  6 Sb 3.14-3.20
Ho 0.0000 0.5000 0.2500 (multiplicity 4)  6 Sb 3.13-3.14
Tm 0.0000 0.0000 0.5000 (multiplicity 2)  6 Sb 3.05-3.14
Sb 0.0000 0.0000 0.2561 (multiplicity 4)  1 Tm 3.05, 4 Ho 3.14, 1 La 3.20
Sb 0.0000 0.5000 0.0000 (multiplicity 4)  2 Ho 3.13, 2 La 3.14, 2 Tm 3.14

Summary:
For the density of states at the Fermi level, the calculation gives 0.146 states/eV per atom. As for the crystal system: tetragonal. Its electronic total energy is -5.50 eV per atom. Its formation energy (no corrections) is -1.12 eV per atom. The magnetic moment is 0.00 μB per atom.

---

Entry 7:
## La3HoTm2Sb6 (PBE)

Data for La3HoTm2Sb6 after structural relaxation.

Cell lengths 7.7895, 13.4886, 7.7474 Å; angles 90.00, 109.57, 90.00 degrees
Closest atoms and distances in Å follow each position.
Space group C2/m (No. 12)
Unique sites:
La 0.0000 0.0000 0.0000 (multiplicity 2)  6 Sb 3.24-3.25
La 0.0000 0.3337 0.0000 (multiplicity 4)  6 Sb 3.24-3.25
Ho 0.0000 0.5000 0.5000 (multiplicity 2)  6 Sb 3.11-3.12
Tm 0.0000 0.1667 0.5000 (multiplicity 4)  6 Sb 3.10
Sb 0.2434 0.0000 0.7337 (multiplicity 4)  2 Tm 3.10, 1 Ho 3.11, 3 La 3.24
Sb 0.2453 0.3327 0.7340 (multiplicity 8)  2 Tm 3.10, 1 Ho 3.12, 3 La 3.24-3.25

Summary:
For the density of states at the Fermi level, the calculation gives 0.182 states/eV per atom. As for the crystal system: monoclinic. Its electronic total energy is -5.59 eV per atom. Its formation energy (no corrections) is -1.17 eV per atom. The magnetic moment is 0.00 μB per atom.

---

Entry 8:
## La3Ho2TmSb6 (PBE)

Data for La3Ho2TmSb6 after structural relaxation.

Cell lengths 7.7971, 13.5018, 7.7584 Å; angles 90.00, 109.56, 90.00 degrees
Closest atoms and distances in Å follow each position.
Space group C2/m (No. 12)
Unique sites:
La 0.0000 0.0000 0.0000 (multiplicity 2)  6 Sb 3.24-3.25
La 0.0000 0.3329 0.0000 (multiplicity 4)  6 Sb 3.24-3.25
Ho 0.0000 0.1665 0.5000 (multiplicity 4)  6 Sb 3.12
Tm 0.0000 0.5000 0.5000 (multiplicity 2)  6 Sb 3.11
Sb 0.2442 0.3339 0.7345 (multiplicity 8)  1 Tm 3.11, 2 Ho 3.12, 3 La 3.24-3.25
Sb 0.2463 0.0000 0.7350 (multiplicity 4)  1 Tm 3.11, 2 Ho 3.12, 3 La 3.24-3.25

Summary:
For the density of states at the Fermi level, the calculation gives 0.184 states/eV per atom. As for the crystal system: monoclinic. Its electronic total energy is -5.61 eV per atom. Its formation energy (no corrections) is -1.18 eV per atom. The magnetic moment is 0.00 μB per atom.

---

Entry 9:
## La3HoSc (PBE)

Data for La3HoSc after structural relaxation.

Cell lengths 9.8833, 14.8677, 9.0146 Å; angles 90.00, 90.00, 90.00 degrees
Closest atoms and distances in Å follow each position.
Space group Cmce (No. 64)
Unique sites:
La 0.0000 0.0373 0.1829 (multiplicity 8)  2 Sc 3.35, 3 La 3.43-3.48, 1 Ho 3.43
La 0.1769 0.1071 0.5927 (multiplicity 16)  3 La 3.18-3.50, 2 Sc 3.37-3.49, 1 Ho 3.54
Ho 0.0000 0.2086 0.9275 (multiplicity 8)  2 Sc 3.35, 5 La 3.43-3.57
Sc 0.2500 0.1840 0.2500 (multiplicity 8)  2 Ho 3.35, 6 La 3.35-3.49

Summary:
The excess energy over the best structure of this formula in the dataset comes out at 0 meV/atom. For the density of states at the Fermi level, the calculation gives 1.193 states/eV per atom. As for the crystal system: orthorhombic. The formation energy is 0.67 eV/f.u. Its electronic total energy is -5.00 eV per atom. The magnetic moment is 0.00 μB per atom.

---

Entry 10:
## LaHo2Sc2 (PBE)

Data for LaHo2Sc2 after structural relaxation.

Cell lengths 6.3752, 6.3773, 7.6845 Å; angles 90.00, 90.07, 90.00 degrees
Closest atoms and distances in Å follow each position.
Space group C2/m (No. 12)
Unique sites:
La 0.0000 0.0000 0.0000 (multiplicity 2)  8 Ho 3.55
Ho 0.9998 0.5000 0.2033 (multiplicity 4)  1 Ho 3.12, 4 Sc 3.21
Sc 0.2500 0.2500 0.5000 (multiplicity 4)  4 Sc 3.19, 4 Ho 3.21

Summary:
The excess energy over the best structure of this formula in the dataset comes out at 0 meV/atom. For the density of states at the Fermi level, the calculation gives 1.785 states/eV per atom. As for the crystal system: monoclinic. The formation energy is 1.68 eV/f.u. Its electronic total energy is -5.01 eV per atom. The magnetic moment is 0.22 μB per atom.

---

Entry 11:
## La3Ho2Sc (PBE)

Data for La3Ho2Sc after structural relaxation.

Cell lengths 5.1094, 8.0493, 10.6907 Å; angles 72.42, 76.19, 71.59 degrees
Closest atoms and distances in Å follow each position.
Space group P-1 (No. 2)
Unique sites:
La 0.0412 0.2875 0.1298 (multiplicity 2)  8 La 3.59-3.67, 1 Sc 3.61, 3 Ho 3.63-3.64
La 0.2939 0.0448 0.8674 (multiplicity 2)  8 La 3.59-3.69, 2 Ho 3.59-3.60, 2 Sc 3.63
La 0.3725 0.6245 0.1308 (multiplicity 2)  8 La 3.59-3.68, 3 Ho 3.62-3.65, 1 Sc 3.64
Ho 0.2119 0.4624 0.6139 (multiplicity 2)  3 Sc 3.43-3.63, 5 Ho 3.43-3.63, 4 La 3.60-3.64
Ho 0.4562 0.2010 0.3867 (multiplicity 2)  4 Ho 3.38-3.63, 4 Sc 3.41-3.57, 4 La 3.59-3.65
Sc 0.1189 0.8738 0.3883 (multiplicity 2)  1 Sc 3.36, 7 Ho 3.41-3.63, 4 La 3.61-3.64

Summary:
For the density of states at the Fermi level, the calculation gives 1.819 states/eV per atom. As for the crystal system: triclinic. The formation energy is 0.32 eV/f.u. Its electronic total energy is -4.99 eV per atom. The magnetic moment is 0.00 μB per atom.

---

Entry 12:
## La2Ho3Sc (PBE)

Data for La2Ho3Sc after structural relaxation.

Cell lengths 6.9846, 9.7476, 5.6128 Å; angles 90.00, 90.00, 90.00 degrees
Closest atoms and distances in Å follow each position.
Space group Pnnm (No. 58)
Unique sites:
La 0.2459 0.1658 0.0000 (multiplicity 4)  5 Ho 3.24-3.52
Ho 0.0000 0.5000 0.0000 (multiplicity 2)  2 Sc 3.49, 6 Ho 3.68-3.69, 6 La 3.68-3.69
Ho 0.2500 0.3320 0.5000 (multiplicity 4)  5 La 3.24-3.52
Sc 0.0000 0.0000 0.5000 (multiplicity 2)  8 Ho 3.49-3.69, 6 La 3.67-3.71

Summary:
The excess energy over the best structure of this formula in the dataset comes out at 53 meV/atom. For the density of states at the Fermi level, the calculation gives 2.095 states/eV per atom. As for the crystal system: orthorhombic. The formation energy is 0.65 eV/f.u. Its electronic total energy is -4.88 eV per atom. The magnetic moment is 0.00 μB per atom.

---

For the records above, the corresponding volume values read 31.45 32.25 32.90 32.68 33.11 30.75 31.96 32.07 33.12 31.24 32.72 31.84 Å³ per atom.